Ba2CaCdMo | meta-GGA SCAN | single point on PBEsol structure

Its formation energy is 1200 meV per atom. As for the magnetization: 1.6 μB/f.u.

The structure belongs to space group P4/mmm (No. 123); the cell edges are 6.3234, 6.3234 and 4.7221 Å and the angles 90.00°, 90.00° and 90.00°. Symmetry generates all atoms from Ba at (0.0000, 0.5000, 0.0000), Ca at (0.0000, 0.0000, 0.0000), Cd at (0.5000, 0.5000, 0.5000) and Mo at (0.0000, 0.0000, 0.5000).

=====

HfSc2Au2 | meta-GGA SCAN | single point on PBEsol structure

Its formation energy is -798 meV per atom. As for the magnetization: 0.0 μB/f.u.

The structure belongs to space group P4/mbm (No. 127); the cell edges are 7.6493, 7.6493 and 3.3816 Å and the angles 90.00°, 90.00° and 90.00°. Symmetry generates all atoms from Hf at (0.0000, 0.0000, 0.0000), Sc at (0.1651, 0.3349, 0.5000) and Au at (0.1334, 0.6334, 0.0000).

=====

Ta2TcB2 | meta-GGA SCAN | single point on PBEsol structure

Its formation energy is -751 meV per atom. As for the magnetization: 0.0 μB/f.u.

The structure belongs to space group P4/mbm (No. 127); the cell edges are 5.9732, 5.9732 and 3.2717 Å and the angles 90.00°, 90.00° and 90.00°. Symmetry generates all atoms from Ta at (0.1759, 0.3241, 0.0000), Tc at (0.0000, 0.0000, 0.5000) and B at (0.1123, 0.6123, 0.5000).

=====

SiPBr2 | meta-GGA SCAN | single point on PBEsol structure

Its uncorrected formation energy is 0.780 eV/atom. As for the magnetization: 0.0 μB/f.u.

The structure belongs to space group Cmmm (No. 65); the cell edges are 3.2691, 5.7974 and 8.6708 Å and the angles 90.00°, 90.00° and 90.00°. Symmetry generates all atoms from Si at (0.0000, 0.0000, 0.0000), P at (0.0000, 0.0000, 0.5000) and Br at (0.0000, 0.5000, 0.2545).

=====

CoBrO2 | meta-GGA SCAN | single point on PBEsol structure

Its uncorrected formation energy is -0.287 eV/atom. As for the magnetization: 3.6 μB/f.u.

The structure belongs to space group Fd-3m (No. 227, origin choice 2); the cell edges are 7.8881, 7.8881 and 7.8881 Å and the angles 90.00°, 90.00° and 90.00°. Symmetry generates all atoms from Co at (0.1250, 0.1250, 0.1250), Br at (0.1250, 0.1250, 0.6250) and O at (0.0000, 0.0000, 0.0000).

=====

LiP2 | meta-GGA SCAN | single point on PBEsol structure

Its formation energy is 272 meV per atom. As for the magnetization: 0.0 μB/f.u.

The structure belongs to space group P-3m1 (No. 164); the cell edges are 2.5994, 2.5994 and 7.2114 Å and the angles 90.00°, 90.00° and 120.00°. Symmetry generates all atoms from Li at (0.0000, 0.0000, 0.0000) and P at (0.3333, 0.6667, 0.2906).

=====

LiTlSi | meta-GGA SCAN | single point on PBEsol structure

Its uncorrected formation energy is 0.197 eV/atom. As for the magnetization: 0.0 μB/f.u.

The structure belongs to space group Imm2 (No. 44); the cell edges are 3.1187, 4.0114 and 9.2478 Å and the angles 90.00°, 90.00° and 90.00°. Symmetry generates all atoms from Li at (0.0000, 0.0000, 0.0000), Tl at (0.0000, 0.0000, 0.3186) and Si at (0.0000, 0.0000, 0.6446).

=====

ReSi2F | meta-GGA SCAN | single point on PBEsol structure

Its uncorrected formation energy is 0.222 eV/atom. As for the magnetization: 0.0 μB/f.u.

The structure belongs to space group I-42d (No. 122); the cell edges are 5.2634, 5.2634 and 10.1267 Å and the angles 90.00°, 90.00° and 90.00°. Symmetry generates all atoms from Re at (0.0000, 0.0000, 0.0000), Si at (0.2375, 0.2500, 0.6250) and F at (0.0000, 0.0000, 0.5000).

=====

NaLaS2N | meta-GGA SCAN | single point on PBEsol structure

Its uncorrected formation energy is -0.366 eV/atom. As for the magnetization: 3.0 μB/f.u.

The structure belongs to space group P4/mmm (No. 123); the cell edges are 4.9018, 4.9018 and 4.1454 Å and the angles 90.00°, 90.00° and 90.00°. Symmetry generates all atoms from Na at (0.0000, 0.0000, 0.0000), La at (0.5000, 0.5000, 0.5000), S at (0.0000, 0.5000, 0.0000) and N at (0.0000, 0.0000, 0.5000).

=====

TaFe3Tc | meta-GGA SCAN | single point on PBEsol structure

Its formation energy is 1485 meV per atom. As for the magnetization: 5.2 μB/f.u.

The structure belongs to space group Pm-3m (No. 221); the cell edges are 4.2549, 4.2549 and 4.2549 Å and the angles 90.00°, 90.00° and 90.00°. Symmetry generates all atoms from Ta at (0.0000, 0.0000, 0.0000), Fe at (0.0000, 0.5000, 0.5000) and Tc at (0.5000, 0.5000, 0.5000).